RbHgS5: relaxed, PBE.

## Properties
Density = 3.1 g/cm³
Magnetic moment = 0.121 μB/atom
Formation energy (no corrections) = -0.227 eV/atom
Space group = C2/c

Structure (CIF):
```
data_RbHgS5
_space_group_name_H-M_alt 'P 1'
_space_group_IT_number 1
_space_group_name_Hall 'P 1'
_cell_length_a 9.588
_cell_length_b 9.588
_cell_length_c 8.628
_cell_angle_alpha 97.36
_cell_angle_beta 97.36
_cell_angle_gamma 139.28
loop_
_atom_site_label
_atom_site_type_symbol
_atom_site_fract_x
_atom_site_fract_y
_atom_site_fract_z
_atom_site_occupancy
S1 S 0.544 0.345 0.172 1
S2 S 0.098 0.321 0.123 1
S3 S 0.179 0.402 0.377 1
S4 S 0.902 0.679 0.877 1
S5 S 0.821 0.598 0.623 1
S6 S 0.155 0.956 0.328 1
Rb1 Rb 0.393 0.107 0.750 1
S7 S 0.845 0.044 0.672 1
Hg1 Hg 0.500 0.500 0.500 1
Rb2 Rb 0.607 0.893 0.250 1
S8 S 0.411 0.089 0.250 1
S9 S 0.589 0.911 0.750 1
S10 S 0.456 0.655 0.828 1
Hg2 Hg 0.000 0.000 0.000 1
```

RbHgS3: relaxed, PBE.

## Properties
Density = 4.7 g/cm³
Magnetic moment = 0.000 μB/atom
Formation energy (no corrections) = 0.154 eV/atom
Offset from the most stable computed form = 0 meV per atom
Space group = Pm-3m

Structure (CIF):
```
data_RbHgS3
_space_group_name_H-M_alt 'P 1'
_space_group_IT_number 1
_space_group_name_Hall 'P 1'
_cell_length_a 5.148
_cell_length_b 5.148
_cell_length_c 5.148
_cell_angle_alpha 90.00
_cell_angle_beta 90.00
_cell_angle_gamma 90.00
loop_
_atom_site_label
_atom_site_type_symbol
_atom_site_fract_x
_atom_site_fract_y
_atom_site_fract_z
_atom_site_occupancy
S1 S 0.000 0.500 0.000 1
S2 S 0.000 0.000 0.500 1
S3 S 0.500 0.000 0.000 1
Rb1 Rb 0.500 0.500 0.500 1
Hg1 Hg 0.000 0.000 0.000 1
```

Please write out number 1 again, unchanged.
RbHgS5: relaxed, PBE.

## Properties
Density = 3.1 g/cm³
Magnetic moment = 0.121 μB/atom
Formation energy (no corrections) = -0.227 eV/atom
Space group = C2/c

Structure (CIF):
```
data_RbHgS5
_space_group_name_H-M_alt 'P 1'
_space_group_IT_number 1
_space_group_name_Hall 'P 1'
_cell_length_a 9.588
_cell_length_b 9.588
_cell_length_c 8.628
_cell_angle_alpha 97.36
_cell_angle_beta 97.36
_cell_angle_gamma 139.28
loop_
_atom_site_label
_atom_site_type_symbol
_atom_site_fract_x
_atom_site_fract_y
_atom_site_fract_z
_atom_site_occupancy
S1 S 0.544 0.345 0.172 1
S2 S 0.098 0.321 0.123 1
S3 S 0.179 0.402 0.377 1
S4 S 0.902 0.679 0.877 1
S5 S 0.821 0.598 0.623 1
S6 S 0.155 0.956 0.328 1
Rb1 Rb 0.393 0.107 0.750 1
S7 S 0.845 0.044 0.672 1
Hg1 Hg 0.500 0.500 0.500 1
Rb2 Rb 0.607 0.893 0.250 1
S8 S 0.411 0.089 0.250 1
S9 S 0.589 0.911 0.750 1
S10 S 0.456 0.655 0.828 1
Hg2 Hg 0.000 0.000 0.000 1
```

Look up the magnetic moment of the first one. 0.121 μB/atom